Here is an optimized crystal structure of Tm4HgTe from the Alexandria database. Energies are from PBE.

For the raw formation energy, the calculation gives -514 meV per atom. The value obtained for the density of states at the Fermi level is 6.346 states/eV/f.u.

The structure belongs to space group P2_1/m (No. 11); the cell edges are 6.0728, 6.4429 and 8.3831 Å and the angles 90.00°, 91.76° and 90.00°. The asymmetric unit holds Tm at (0.1222, 0.2500, 0.3487), Tm at (0.1504, 0.7500, 0.0491), Tm at (0.3634, 0.0009, 0.6929), Hg at (0.2066, 0.7500, 0.3948) and Te at (0.3439, 0.2500, 0.0273).